DFT (PBE) results for a geometry-optimized ScNb3Al structure.

```
ScNb3Al
1.0
4.730 0.000 0.000
0.000 4.730 0.000
0.000 0.000 4.730
Sc Nb Al
1 3 1
Cartesian
0.000 0.000 0.000 Sc
0.000 2.365 0.000 Nb
0.000 0.000 2.365 Nb
2.365 0.000 0.000 Nb
2.365 2.365 2.365 Al
```

* magnetization: 0.0 μB/cell
* crystal system: cubic
* calculated formation energy: 709 kJ/mol of formula units
* distance to the lowest polymorph of the same formula: 0.562 eV/atom